Below is an optimized crystal structure of CeMoP2, with properties calculated at the PBE level.

Values from the calculation:
Space group   R-3m, No. 166
Volume   18.823 Å³/atom
E above lowest polymorph   0 meV per atom
DFT formation energy   -866 meV per atom

Cell: 3.885 3.885 6.181 Å, 71.68 71.68 60.00°
Each line ends with the local moment (μB).
Positions (direct):
Mo 0.000 0.000 0.000  1.06
P 0.735 0.735 0.794  -0.01
P 0.265 0.265 0.206  -0.01
Ce 0.500 0.500 0.500  0.17

=====

Below is an optimized crystal structure of Fe2WSe, with properties calculated at the PBE level.

Values from the calculation:
Space group   R-3m, No. 166
Volume   14.078 Å³/atom
Energy relative to the elements, uncorrected   1.4 eV/f.u.

Cell: 8.087 8.087 8.087 Å, 20.41 20.41 20.41°
Each line ends with the local moment (μB).
Positions (direct):
Fe 0.503 0.503 0.503  1.85
Fe 0.997 0.997 0.997  1.85
Se 0.250 0.250 0.250  -0.05
W 0.750 0.750 0.750  -0.17

=====

Below is an optimized crystal structure of TcNiP2, with properties calculated at the PBE level.

Values from the calculation:
Space group   R-3m, No. 166
Volume   12.918 Å³/atom
E above lowest polymorph   128 meV per atom
DFT formation energy   -217 meV per atom

Cell: 7.208 7.208 7.208 Å, 23.36 23.36 23.36°
Positions (direct):
Ni 0.750 0.750 0.750
Tc 0.250 0.250 0.250
P 0.497 0.497 0.497
P 0.003 0.003 0.003

=====

Below is an optimized crystal structure of SmZrAgRu, with properties calculated at the PBE level.

Values from the calculation:
Space group   F-43m, No. 216
Volume   20.841 Å³/atom
DFT formation energy   -170 meV per atom

Cell: 4.903 4.903 4.903 Å, 60.00 60.00 60.00°
Positions (direct):
Ru 0.000 0.000 0.000
Ag 0.500 0.500 0.500
Zr 0.750 0.750 0.750
Sm 0.250 0.250 0.250

=====

Below is an optimized crystal structure of Tb2PmPr3Te6, with properties calculated at the PBE level.

Values from the calculation:
Space group   C2/m, No. 12
Volume   31.535 Å³/atom
Energy relative to the elements, uncorrected   -16.7 eV/f.u.

Cell: 4.430 9.017 10.009 Å, 103.57 102.78 90.00°
Positions (direct):
Tb 0.166 0.331 0.331
Tb 0.834 0.669 0.669
Te 0.330 0.424 0.660
Te 0.004 0.249 0.008
Te 0.667 0.092 0.334
Te 0.670 0.576 0.340
Te 0.996 0.751 0.992
Te 0.333 0.908 0.666
Pm 0.500 0.000 0.000
Pr 0.836 0.167 0.673
Pr 0.500 0.500 0.000
Pr 0.164 0.833 0.327

=====

Below is an optimized crystal structure of CsSbAu, with properties calculated at the PBE level.

Values from the calculation:
Space group   C2/m, No. 12
Volume   39.691 Å³/atom
E above lowest polymorph   0 meV per atom
Energy relative to the elements, uncorrected   -1.2 eV/f.u.

Cell: 4.412 6.664 8.511 Å, 80.51 105.02 90.00°
Positions (direct):
Au 0.500 0.000 0.000
Au 0.000 0.500 0.000
Cs 0.340 0.709 0.679
Cs 0.660 0.291 0.321
Sb 0.916 0.190 0.832
Sb 0.084 0.810 0.168

=====

Q: The lowest volume belongs to which entry?
A: TcNiP2

=====

Q: What is the volume in the first record?
A: 18.823 Å³/atom

=====

Q: Among the records above, which one has the lowest volume?
A: TcNiP2